A plane-wave DFT calculation with PBE-GGA was carried out for a relaxed structure of Cd2SbRu.

abc: 5.4783 8.6915 3.3954
angles: 90.00 90.00 90.00
Last column: nearest neighbours and their distance in Å.
Space group Cmmm (No. 65)
Symmetry-distinct sites (fractional):
Cd 0.2500 0.2500 0.0000  2 Cd 2.74
Sb 0.0000 0.0000 0.5000  2 Ru 2.74
Ru 0.0000 0.5000 0.5000  2 Sb 2.74

Computed properties:
* DOS(E_F): 5.4 states/eV per cell
* total magnetization: 0.00 μB per formula unit
* ΔE_f (raw): 0.3290 eV/atom
* calculated density: 9.196 Mg/m³

A plane-wave DFT calculation with PBE-GGA was carried out for a relaxed structure of Cd2SbRu.

abc: 6.8271 6.8271 6.8271
angles: 90.00 90.00 90.00
Last column: nearest neighbours and their distance in Å.
Space group F-43m (No. 216)
Symmetry-distinct sites (fractional):
Cd 0.0000 0.0000 0.0000  4 Cd 2.96, 4 Ru 2.96
Cd 0.2500 0.2500 0.2500  4 Cd 2.96, 4 Sb 2.96
Sb 0.0000 0.0000 0.5000  4 Cd 2.96, 4 Ru 2.96
Ru 0.2500 0.2500 0.7500  4 Cd 2.96, 4 Sb 2.96

Computed properties:
* DOS(E_F): 16.5 states/eV per cell
* total magnetization: 0.00 μB per formula unit
* ΔE_f (raw): 0.3706 eV/atom
* calculated density: 9.344 Mg/m³

A plane-wave DFT calculation with PBE-GGA was carried out for a relaxed structure of CdSb6Ru.

abc: 13.7220 9.5363 9.8016
angles: 90.00 134.08 90.00
Last column: nearest neighbours and their distance in Å.
Space group C2/m (No. 12)
Symmetry-distinct sites (fractional):
Cd 0.2500 0.2500 0.0000  6 Sb 2.89-2.99
Sb 0.0179 0.1533 0.3684  1 Ru 2.63, 2 Sb 2.92-2.94
Sb 0.1265 0.5000 0.7684  2 Cd 2.89, 2 Sb 2.93-2.97
Sb 0.1475 0.3463 0.1675  1 Ru 2.66, 2 Sb 2.93-2.94, 1 Cd 2.96
Sb 0.1751 0.5000 0.5212  2 Ru 2.66, 2 Sb 2.93-2.97
Ru 0.2500 0.2500 0.5000  6 Sb 2.63-2.66

Computed properties:
* DOS(E_F): 15.2 states/eV per cell
* total magnetization: 0.00 μB per formula unit
* ΔE_f (raw): -0.0192 eV/atom
* calculated density: 6.805 Mg/m³

A plane-wave DFT calculation with PBE-GGA was carried out for a relaxed structure of CdSb2Ru.

abc: 4.5588 3.4849 5.7921
angles: 90.00 109.30 90.00
Last column: nearest neighbours and their distance in Å.
Space group P2/m (No. 10)
Symmetry-distinct sites (fractional):
Cd 0.0000 0.0000 0.0000  6 Sb 2.87-2.90
Sb 0.0000 0.0000 0.5000  4 Ru 2.87, 2 Cd 2.90
Sb 0.5000 0.5000 0.0000  4 Cd 2.87, 2 Ru 2.90
Ru 0.5000 0.5000 0.5000  6 Sb 2.87-2.90

Computed properties:
* DOS(E_F): 3.2 states/eV per cell
* total magnetization: 0.00 μB per formula unit
* ΔE_f (raw): 0.3622 eV/atom
* calculated density: 8.738 Mg/m³